Arrangement P

Here is a relaxed structure of FeOsPt from Alexandria. Energies are from PBE.

```
FeOsPt
1.0
-0.702 4.625 -0.026
-1.990 2.110 3.670
3.539 -2.649 -1.529
Fe Pt Os
1 1 1
direct
0.992 0.992 0.000
0.666 0.666 0.000
0.342 0.342 0.000
```



Arrangement Q

Here is a relaxed structure of FeOsPt from Alexandria. Energies are from PBE.

```
FeOsPt
1.0
-0.535 -0.236 2.659
2.431 -0.749 -0.971
2.262 6.055 0.993
Os Fe Pt
1 1 1
direct
0.667 0.333 0.316
0.000 0.000 0.008
0.333 0.667 0.676
```



Arrangement R

Here is a relaxed structure of FeOsPt from Alexandria. Energies are from PBE.

```
FeOsPt
1.0
-3.178 0.794 -2.351
0.004 -1.170 -3.858
-2.417 -2.995 -1.201
Fe Pt Os
1 1 1
direct
0.750 0.750 0.750
0.500 0.500 0.500
0.000 0.000 0.000
```



Which of them is most stable? Easy: arrangement Q.



Arrangement P

Here is a relaxed structure of FeOsPt from Alexandria. Energies are from PBE.

```
FeOsPt
1.0
5.951 0.005 -0.006
5.333 2.640 -0.007
0.618 0.147 2.631
Os Pt Fe
1 1 1
direct
0.655 0.655 0.345
0.338 0.338 0.662
0.007 0.007 0.993
```



Arrangement Q

Here is a relaxed structure of FeOsPt from Alexandria. Energies are from PBE.

```
FeOsPt
1.0
5.583 1.626 -1.694
4.200 3.962 -1.832
-3.994 -3.523 7.234
Pt Fe Os
2 2 2
direct
0.184 0.564 0.961
0.858 0.576 0.298
0.524 0.080 0.138
0.190 0.077 0.469
0.862 0.084 0.801
0.520 0.572 0.634
```



Which of them is most stable? Easy: arrangement P.



Arrangement P

Here is a relaxed structure of FeReOs from Alexandria. Energies are from PBE.

```
FeReOs
1.0
-0.894 -6.275 -0.739
2.373 -2.980 -5.120
4.914 -4.021 0.641
Os Re Fe
4 4 4
direct
0.606 0.606 0.182
0.606 0.606 0.606
0.182 0.606 0.606
0.606 0.182 0.606
0.342 0.886 0.886
0.886 0.342 0.886
0.886 0.886 0.886
0.886 0.886 0.342
0.157 0.530 0.157
0.530 0.157 0.157
0.157 0.157 0.530
0.157 0.157 0.157
```



Arrangement Q

Here is a relaxed structure of FeReOs from Alexandria. Energies are from PBE.

```
FeReOs
1.0
6.928 0.020 -0.014
6.205 2.578 -0.068
0.723 -0.857 2.411
Re Fe Os
1 1 1
direct
0.663 0.663 0.337
0.000 0.000 0.000
0.336 0.336 0.664
```



Arrangement R

Here is a relaxed structure of FeReOs from Alexandria. Energies are from PBE.

```
FeReOs
1.0
-3.410 4.592 -1.296
-2.703 2.643 -4.484
1.509 -4.680 3.197
Fe Os Re
1 1 1
direct
0.999 0.999 0.000
0.340 0.340 0.000
0.661 0.661 0.000
```



Which of them is most stable? Easy: arrangement R.



Arrangement P

Here is a relaxed structure of FeReOs2 from Alexandria. Energies are from PBE.

```
FeReOs2
1.0
-2.836 -1.294 -3.434
-3.383 -2.888 -1.313
-3.715 2.662 1.041
Os Re Fe
2 1 1
direct
0.500 0.500 0.510
0.000 0.000 0.990
0.250 0.250 0.250
0.750 0.750 0.750
```



Arrangement Q

Here is a relaxed structure of FeReOs2 from Alexandria. Energies are from PBE.

```
FeReOs2
1.0
2.706 0.000 0.000
0.000 3.811 0.000
0.000 0.000 5.375
Os Re Fe
2 1 1
direct
0.000 0.000 0.510
0.000 0.000 0.990
0.500 0.500 0.250
0.500 0.500 0.750
```



Which of them is most stable? Easy: arrangement Q.



Arrangement P

Here is a relaxed structure of FeReOs2 from Alexandria. Energies are from PBE.

```
FeReOs2
1.0
2.666 0.027 0.000
-1.196 2.383 0.000
0.000 0.000 8.977
Re Os Fe
1 2 1
direct
0.000 0.000 0.507
0.000 0.000 0.991
0.500 0.500 0.252
0.500 0.500 0.750
```



Arrangement Q

Here is a relaxed structure of FeReOs2 from Alexandria. Energies are from PBE.

```
FeReOs2
1.0
-3.300 2.434 0.387
-2.716 -0.679 3.021
0.057 2.999 3.532
Os Re Fe
2 1 1
direct
0.263 0.263 0.210
0.044 0.044 0.869
0.490 0.490 0.529
0.703 0.703 0.892
```



Which of them is most stable? Easy: arrangement Q.



Arrangement P

Here is a relaxed structure of FeReOs2 from Alexandria. Energies are from PBE.

```
FeReOs2
1.0
2.674 0.028 0.000
-1.193 2.394 0.000
0.000 0.000 8.919
Fe Os Re
1 2 1
direct
0.500 0.500 0.750
0.000 0.000 0.993
0.000 0.000 0.507
0.500 0.500 0.250
```



Arrangement Q

Here is a relaxed structure of FeReOs2 from Alexandria. Energies are from PBE.

```
FeReOs2
1.0
-3.116 -2.143 -0.105
1.980 -2.946 1.380
-0.864 1.082 3.548
Os Fe Re
2 1 1
direct
0.000 0.500 0.500
0.000 0.000 0.000
0.500 0.000 0.500
0.500 0.500 0.000
```



Which of them is most stable? Easy: arrangement Q.